1.
Here is an optimized crystal structure of PSeCl2 from Alexandria. Energies are from PBE.

E_tot = -2.57 eV/atom
SG = Pmmm (47)
Magnetic moment = 0.00 μB per formula unit
Polymorph energy (0 for the lowest one) = 789 meV per atom
Formation energy (no corrections) = 0.575 eV per atom

abc: 3.142 5.938 4.319
angles: 90.00 90.00 90.00
Fractional coordinates of all 4 atoms:
Se (0.000, 0.500, 0.500)
P (0.500, 0.000, 0.500)
Cl (0.000, 0.000, 0.000)
Cl (0.500, 0.500, 0.000)


2.
Here is an optimized crystal structure of PSeCl2 from Alexandria. Energies are from PBE.

E_tot = -2.88 eV/atom
SG = Immm (71)
Magnetic moment = 0.00 μB per formula unit
Polymorph energy (0 for the lowest one) = 480 meV per atom
Formation energy (no corrections) = 0.265 eV per atom

abc: 7.454 7.454 7.454
angles: 156.02 139.15 47.92
Fractional coordinates of all 4 atoms:
P (0.250, 0.750, 0.500)
Se (0.750, 0.250, 0.500)
Cl (0.388, 0.388, 0.000)
Cl (0.112, 0.112, 0.000)


Among the records above, which one has the lowest E_tot? number 2